Rb2NbOs | PBE | relaxed

Summary:
Total moment (μB/f.u.): 0.00
Energy relative to the lowest polymorph listed for this composition (meV per atom): 1271
VASP energy (eV/f.u.): -12.28
E_form (eV/atom): 2.739
Crystal system: cubic
V (Å³/atom): 26.5
Space group: Fm-3m, No. 225

abc: 5.315 5.315 5.315
angles: 60.00 60.00 60.00
Positions (direct):
Nb (0.000, 0.000, 0.000)
Os (0.500, 0.500, 0.500)
Rb (0.250, 0.250, 0.250)
Rb (0.750, 0.750, 0.750)

***

Li6AcPd4 | PBE | relaxed

Summary:
Total moment (μB/f.u.): 0.00
Energy relative to the lowest polymorph listed for this composition (meV per atom): 0
VASP energy (eV/f.u.): -40.74
E_form (eV/atom): -0.397
Crystal system: hexagonal
V (Å³/atom): 17.4
Space group: P-6m2, No. 187

abc: 4.172 7.269 7.269
angles: 120.00 90.00 90.00
Positions (direct):
Li (0.000, 0.535, 0.070)
Li (0.500, 0.580, 0.790)
Li (0.000, 0.535, 0.465)
Li (0.000, 0.930, 0.465)
Li (0.500, 0.210, 0.790)
Li (0.500, 0.210, 0.420)
Ac (0.000, 0.000, 0.000)
Pd (0.500, 0.797, 0.594)
Pd (0.500, 0.406, 0.203)
Pd (0.500, 0.797, 0.203)
Pd (0.000, 0.333, 0.667)

***

CsNa3Zn4H12 | PBE | relaxed

Summary:
Total moment (μB/f.u.): 0.00
VASP energy (eV/f.u.): -51.14
Crystal system: trigonal
V (Å³/atom): 15.0
Space group: R32, No. 155

abc: 7.120 7.120 7.120
angles: 107.19 107.19 107.19
Positions (direct):
Cs (0.000, 0.000, 0.000)
Na (0.559, 0.441, 0.000)
Na (0.441, 0.000, 0.559)
Na (0.000, 0.559, 0.441)
Zn (0.925, 0.075, 0.500)
Zn (0.075, 0.500, 0.925)
Zn (0.500, 0.925, 0.075)
Zn (0.500, 0.500, 0.500)
H (0.500, 0.359, 0.641)
H (0.933, 0.500, 0.067)
H (0.067, 0.933, 0.500)
H (0.500, 0.067, 0.933)
H (0.355, 0.914, 0.211)
H (0.211, 0.355, 0.914)
H (0.914, 0.211, 0.355)
H (0.645, 0.789, 0.086)
H (0.086, 0.645, 0.789)
H (0.789, 0.086, 0.645)
H (0.641, 0.500, 0.359)
H (0.359, 0.641, 0.500)

***

PmCBrN2 | PBE | relaxed

Summary:
Total moment (μB/f.u.): 0.00
VASP energy (eV/f.u.): -37.51
Crystal system: monoclinic
Formation energy (no corrections) (eV per atom): -1.042
V (Å³/atom): 16.2
Space group: P2_1/m, No. 11

abc: 3.931 5.396 7.752
angles: 99.16 90.00 90.00
Positions (direct):
Pm (0.750, 0.831, 0.276)
Pm (0.250, 0.169, 0.724)
C (0.750, 0.650, 0.638)
C (0.250, 0.350, 0.362)
Br (0.750, 0.256, 0.042)
Br (0.250, 0.744, 0.958)
N (0.250, 0.570, 0.343)
N (0.250, 0.126, 0.386)
N (0.750, 0.874, 0.614)
N (0.750, 0.430, 0.657)

***

YCd4Au | PBE | relaxed

Summary:
Total moment (μB/f.u.): 0.00
VASP energy (eV/f.u.): -13.98
E_form (eV/atom): -0.096
Crystal system: cubic
V (Å³/atom): 22.8
Space group: F-43m, No. 216

abc: 5.783 5.783 5.783
angles: 60.00 60.00 60.00
Positions (direct):
Y (0.750, 0.750, 0.750)
Cd (0.875, 0.375, 0.375)
Cd (0.375, 0.375, 0.875)
Cd (0.375, 0.875, 0.375)
Cd (0.375, 0.375, 0.375)
Au (0.000, 0.000, 0.000)